[1]
Compound: InHg3S4Br
Source: OQMD via LeMat-Bulk
Functional: GGA-PBE
Structure: optimized geometry

- Electronic total energy: -2.640 eV/atom

a b c (Å): 7.9224 7.9224 10.0821
angles (deg): 90.00 90.00 120.00
With the nearest neighbours (Å) after each atom.
Sites, in units of the cell vectors:
S: 0.6667 0.3333 0.6148  3 Hg 2.48
S: 0.8266 0.1734 0.3469  1 In 2.40, 2 Hg 2.59
S: 0.3468 0.1734 0.3469  1 In 2.40, 2 Hg 2.59
S: 0.6532 0.8266 0.8469  1 In 2.40, 2 Hg 2.59
S: 0.1734 0.8266 0.8469  1 In 2.40, 2 Hg 2.59
S: 0.8266 0.6532 0.3469  1 In 2.40, 2 Hg 2.59
S: 0.3333 0.6667 0.1148  3 Hg 2.48
S: 0.1734 0.3468 0.8469  1 In 2.40, 2 Hg 2.59
Br: 0.3333 0.6667 0.5298  3 Hg 3.09
Br: 0.6667 0.3333 0.0298  3 Hg 3.09
Hg: 0.4943 0.5057 0.2267  3 S 2.48-2.59
Hg: 0.4943 0.9885 0.2267  3 S 2.48-2.59
Hg: 0.9885 0.4943 0.7267  3 S 2.48-2.59
Hg: 0.5057 0.0115 0.7267  3 S 2.48-2.59
Hg: 0.5057 0.4943 0.7267  3 S 2.48-2.59
Hg: 0.0115 0.5057 0.2267  3 S 2.48-2.59
In: 0.0000 0.0000 0.8145  3 S 2.40
In: 0.0000 0.0000 0.3145  3 S 2.40


[2]
Compound: TbIn6Fe6
Source: OQMD via LeMat-Bulk
Functional: GGA-PBE
Structure: optimized geometry

- Electronic total energy: -5.470 eV/atom

a b c (Å): 7.0256 7.0256 7.0256
angles (deg): 135.66 98.67 97.70
With the nearest neighbours (Å) after each atom.
Sites, in units of the cell vectors:
Fe: 0.5000 0.0000 0.0000  4 Fe 2.65, 6 In 2.74-2.79
Fe: 0.2414 0.7414 0.5000  4 Fe 2.65, 6 In 2.77-2.80
Fe: 0.0000 0.0000 0.5000  4 Fe 2.65, 6 In 2.74-2.79
Fe: 0.7586 0.2586 0.5000  4 Fe 2.65, 6 In 2.77-2.80
Fe: 0.5000 0.5000 0.5000  4 Fe 2.65, 6 In 2.74-2.79
Fe: 0.0000 0.5000 0.0000  4 Fe 2.65, 6 In 2.74-2.79
In: 0.1787 0.5000 0.6787  6 Fe 2.74-2.77, 2 In 3.04
In: 0.3277 0.3277 0.0000  6 Fe 2.74-2.77, 1 Tb 3.03
In: 0.8213 0.5000 0.3213  6 Fe 2.74-2.77, 2 In 3.04
In: 0.3412 0.0000 0.3412  6 Fe 2.79-2.80, 3 In 2.91-3.04, 1 Tb 3.12
In: 0.6588 0.0000 0.6588  6 Fe 2.79-2.80, 3 In 2.91-3.04, 1 Tb 3.12
In: 0.6723 0.6723 0.0000  6 Fe 2.74-2.77, 1 Tb 3.03
Tb: 0.0000 0.0000 0.0000  8 In 3.03-3.12


[3]
Compound: RbGeTe4Au3
Source: OQMD via LeMat-Bulk
Functional: GGA-PBE
Structure: optimized geometry

- Electronic total energy: -3.174 eV/atom

a b c (Å): 6.9479 6.9479 6.9479
angles (deg): 90.00 90.00 90.00
With the nearest neighbours (Å) after each atom.
Sites, in units of the cell vectors:
Au: 0.0000 0.5000 0.0000  4 Te 2.90
Au: 0.5000 0.0000 0.0000  4 Te 2.90
Au: 0.0000 0.0000 0.5000  4 Te 2.90
Te: 0.7850 0.2150 0.2150  1 Ge 2.59, 3 Au 2.90
Te: 0.2150 0.2150 0.7850  1 Ge 2.59, 3 Au 2.90
Te: 0.7850 0.7850 0.7850  1 Ge 2.59, 3 Au 2.90
Te: 0.2150 0.7850 0.2150  1 Ge 2.59, 3 Au 2.90
Ge: 0.0000 0.0000 0.0000  4 Te 2.59
Rb: 0.5000 0.5000 0.5000  4 Te 3.43


Q: Among the records above, which one has the lowest electronic total energy?
A: TbIn6Fe6


Q: Which value of electronic total energy does entry 1 give?
A: -2.640 eV/atom


Repeat the second record exactly.
Compound: TbIn6Fe6
Source: OQMD via LeMat-Bulk
Functional: GGA-PBE
Structure: optimized geometry

- Electronic total energy: -5.470 eV/atom

a b c (Å): 7.0256 7.0256 7.0256
angles (deg): 135.66 98.67 97.70
With the nearest neighbours (Å) after each atom.
Sites, in units of the cell vectors:
Fe: 0.5000 0.0000 0.0000  4 Fe 2.65, 6 In 2.74-2.79
Fe: 0.2414 0.7414 0.5000  4 Fe 2.65, 6 In 2.77-2.80
Fe: 0.0000 0.0000 0.5000  4 Fe 2.65, 6 In 2.74-2.79
Fe: 0.7586 0.2586 0.5000  4 Fe 2.65, 6 In 2.77-2.80
Fe: 0.5000 0.5000 0.5000  4 Fe 2.65, 6 In 2.74-2.79
Fe: 0.0000 0.5000 0.0000  4 Fe 2.65, 6 In 2.74-2.79
In: 0.1787 0.5000 0.6787  6 Fe 2.74-2.77, 2 In 3.04
In: 0.3277 0.3277 0.0000  6 Fe 2.74-2.77, 1 Tb 3.03
In: 0.8213 0.5000 0.3213  6 Fe 2.74-2.77, 2 In 3.04
In: 0.3412 0.0000 0.3412  6 Fe 2.79-2.80, 3 In 2.91-3.04, 1 Tb 3.12
In: 0.6588 0.0000 0.6588  6 Fe 2.79-2.80, 3 In 2.91-3.04, 1 Tb 3.12
In: 0.6723 0.6723 0.0000  6 Fe 2.74-2.77, 1 Tb 3.03
Tb: 0.0000 0.0000 0.0000  8 In 3.03-3.12